Entry 1
VASP calculation (PBE) on a relaxed Ba3ReO6 crystal.

a = 7.2515 Å, b = 7.2515 Å, c = 7.2515 Å
α = 91.98°, β = 91.98°, γ = 91.98°
With the nearest neighbours (Å) after each atom.
Fractional positions:
O  0.2565  0.9464  0.0661  1 Re 1.96
Ba  0.9355  0.7452  0.4383  6 O 2.66-2.79
O  0.5462  0.4311  0.2417  1 Re 1.96
O  0.7583  0.4538  0.5689  1 Re 1.96
Ba  0.0645  0.2548  0.5617  6 O 2.66-2.79
O  0.7435  0.0536  0.9339  1 Re 1.96
O  0.4538  0.5689  0.7583  1 Re 1.96
Ba  0.7452  0.4383  0.9355  6 O 2.66-2.79
O  0.0536  0.9339  0.7435  1 Re 1.96
Re  0.0000  0.0000  0.0000  6 O 1.96
O  0.9464  0.0661  0.2565  1 Re 1.96
O  0.4311  0.2417  0.5462  1 Re 1.96
O  0.9339  0.7435  0.0536  1 Re 1.96
Ba  0.4383  0.9355  0.7452  6 O 2.66-2.79
Ba  0.2548  0.5617  0.0645  6 O 2.66-2.79
O  0.0661  0.2565  0.9464  1 Re 1.96
Re  0.5000  0.5000  0.5000  6 O 1.96
O  0.5689  0.7583  0.4538  1 Re 1.96
O  0.2417  0.5462  0.4311  1 Re 1.96
Ba  0.5617  0.0645  0.2548  6 O 2.66-2.79

=====

Entry 2
VASP calculation (PBE) on a relaxed Ba3ReO6 crystal.

a = 6.3828 Å, b = 6.1494 Å, c = 6.1494 Å
α = 60.52°, β = 61.52°, γ = 61.52°
With the nearest neighbours (Å) after each atom.
Fractional positions:
O  0.3483  0.6663  0.2211  1 Re 1.96
Ba  0.7243  0.7579  0.7579  5 O 2.72-2.79
Ba  0.2757  0.2421  0.2421  5 O 2.72-2.79
O  0.2035  0.7042  0.7042  1 Re 1.94
Ba  0.0000  0.0000  0.0000  6 O 2.61-2.66
O  0.7965  0.2958  0.2958  1 Re 1.94
Re  0.5000  0.5000  0.5000  6 O 1.94-1.96
O  0.6517  0.7789  0.3337  1 Re 1.96
O  0.3483  0.2211  0.6663  1 Re 1.96
O  0.6517  0.3337  0.7789  1 Re 1.96

=====

entry 2 comes first in stability; the runner-up is 2.0 kJ/mol of atoms higher.

=====

Entry 1
VASP calculation (PBE) on a relaxed BaReO2 crystal.

a = 6.4435 Å, b = 6.4435 Å, c = 6.4435 Å
α = 31.85°, β = 31.85°, γ = 31.85°
With the nearest neighbours (Å) after each atom.
Fractional positions:
O  0.8614  0.8614  0.8614  3 Re 2.11, 3 O 2.29
O  0.1386  0.1386  0.1386  3 Re 2.11, 3 O 2.29
Re  0.5000  0.5000  0.5000  6 O 2.11
Ba  0.0000  0.0000  0.0000  2 O 2.54

=====

Entry 2
VASP calculation (PBE) on a relaxed BaReO2 crystal.

a = 6.2336 Å, b = 6.2336 Å, c = 6.2336 Å
α = 41.48°, β = 41.48°, γ = 41.48°
With the nearest neighbours (Å) after each atom.
Fractional positions:
Ba  0.5000  0.5000  0.5000  6 O 2.75
O  0.8942  0.8942  0.8942  1 Re 1.81
O  0.1058  0.1058  0.1058  1 Re 1.81
Re  0.0000  0.0000  0.0000  2 O 1.81

=====

entry 2 comes first in stability; the runner-up is 45.5 kJ/mol of atoms higher.